Record 1
The following is a PBEsol calculation of Ba4La2Cu6O13 after structural relaxation, from the Alexandria database.

Cell lengths 12.434, 12.415, 5.510 Å; angles 77.38, 77.00, 25.62 degrees
Element x y z (fractional)
Ba 0.149 0.664 0.851
Ba 0.336 0.851 0.664
Ba 0.664 0.149 0.336
Ba 0.851 0.336 0.149
La 0.000 0.500 0.000
La 0.500 0.000 0.500
Cu 0.077 0.573 0.427
Cu 0.239 0.761 0.239
Cu 0.427 0.923 0.077
Cu 0.573 0.077 0.923
Cu 0.761 0.239 0.761
Cu 0.923 0.427 0.573
O 0.000 0.000 0.000
O 0.182 0.182 0.818
O 0.184 0.184 0.316
O 0.195 0.654 0.346
O 0.316 0.316 0.184
O 0.316 0.316 0.684
O 0.346 0.805 0.195
O 0.654 0.195 0.805
O 0.684 0.684 0.316
O 0.684 0.684 0.816
O 0.805 0.346 0.654
O 0.816 0.816 0.684
O 0.818 0.818 0.182

- electronic total energy (hartree per atom) = -0.235
- ΔE_f (raw) (eV/atom) = -1.8603
- SG = Fmmm

***

Record 2
The following is a PBEsol calculation of LiNi2Br after structural relaxation, from the Alexandria database.

Cell lengths 7.887, 7.887, 7.887 Å; angles 21.42, 21.42, 21.42 degrees
Element x y z (fractional)
Li 0.000 0.000 0.000
Ni 0.245 0.245 0.245
Ni 0.755 0.755 0.755
Br 0.500 0.500 0.500

- energy above the lowest structure with this stoichiometry (meV/atom) = 165
- electronic total energy (hartree per atom) = -0.131
- ΔE_f (raw) (eV/atom) = 0.4807
- SG = R-3m

***

Record 3
The following is a PBEsol calculation of ZnSbAu2 after structural relaxation, from the Alexandria database.

Cell lengths 4.726, 4.726, 4.726 Å; angles 60.00, 60.00, 60.00 degrees
Element x y z (fractional)
Zn 0.000 0.000 0.000
Sb 0.750 0.750 0.750
Au 0.250 0.250 0.250
Au 0.500 0.500 0.500

- energy above the lowest structure with this stoichiometry (meV/atom) = 216
- electronic total energy (hartree per atom) = -0.123
- ΔE_f (raw) (eV/atom) = 0.1561
- SG = F-43m